[1]
# AcLa3Pa4N12 (PBE, relaxed)
data_AcLa3Pa4N12
_space_group_name_H-M_alt 'P 1'
_space_group_IT_number 1
_cell_length_a 7.5116
_cell_length_b 7.5116
_cell_length_c 7.5116
_cell_angle_alpha 109.47
_cell_angle_beta 109.47
_cell_angle_gamma 109.47
loop_
_space_group_symop_operation_xyz
'x,y,z'
loop_
_atom_site_label
_atom_site_type_symbol
_atom_site_fract_x
_atom_site_fract_y
_atom_site_fract_z
N1 N 0.7109 0.7983 0.5091
N2 N 0.2017 0.4909 0.2891
N3 N 0.5091 0.7109 0.7983
N4 N 0.7983 0.0874 0.2891
N5 N 0.7983 0.5091 0.7109
N6 N 0.4909 0.2891 0.2017
N7 N 0.9126 0.7109 0.2017
N8 N 0.2891 0.2017 0.4909
N9 N 0.0874 0.2891 0.7983
N10 N 0.2891 0.7983 0.0874
N11 N 0.7109 0.2017 0.9126
N12 N 0.2017 0.9126 0.7109
Pa1 Pa 0.5000 0.0000 0.0000
Pa2 Pa 0.0000 0.5000 0.0000
Pa3 Pa 0.5000 0.5000 0.5000
Pa4 Pa 0.0000 0.0000 0.5000
La1 La 0.5000 0.5000 0.0000
La2 La 0.0000 0.5000 0.5000
La3 La 0.5000 0.0000 0.5000
Ac1 Ac 0.0000 0.0000 0.0000
# * mass density: 8.835 g/cm³
# * volume: 326 Å³/f.u.
# * space-group type: No. 204
# * ΔE_f (raw): -1263 meV per atom
# * total magnetic moment: 0.000 μB per formula unit

---

[2]
# V2HgI (PBE, relaxed)
data_V2HgI
_space_group_name_H-M_alt 'P 1'
_space_group_IT_number 1
_cell_length_a 7.4652
_cell_length_b 7.4652
_cell_length_c 6.2886
_cell_angle_alpha 53.59
_cell_angle_beta 53.59
_cell_angle_gamma 90.00
loop_
_space_group_symop_operation_xyz
'x,y,z'
loop_
_atom_site_label
_atom_site_type_symbol
_atom_site_fract_x
_atom_site_fract_y
_atom_site_fract_z
V1 V 0.3750 0.3791 0.7500
V2 V 0.1291 0.6250 0.2500
V3 V 0.8750 0.8709 0.7500
V4 V 0.6209 0.1250 0.2500
I1 I 0.5000 0.5000 0.0000
I2 I 0.2500 0.7500 0.5000
Hg1 Hg 0.0000 0.0000 0.0000
Hg2 Hg 0.7500 0.2500 0.5000
# * E above lowest polymorph: 0.068 eV/atom
# * mass density: 7.486 g/cm³
# * volume: 95 Å³/f.u.
# * space-group type: No. 122
# * ΔE_f (raw): 864 meV per atom
# * total magnetic moment: 6.408 μB per formula unit

---

[3]
# Tm3Ni6As5 (PBE, relaxed)
data_Tm3Ni6As5
_space_group_name_H-M_alt 'P 1'
_space_group_IT_number 1
_cell_length_a 3.9085
_cell_length_b 9.4814
_cell_length_c 11.8825
_cell_angle_alpha 90.00
_cell_angle_beta 90.00
_cell_angle_gamma 90.00
loop_
_space_group_symop_operation_xyz
'x,y,z'
loop_
_atom_site_label
_atom_site_type_symbol
_atom_site_fract_x
_atom_site_fract_y
_atom_site_fract_z
Tm1 Tm 0.0000 0.2490 0.6657
Tm2 Tm 0.5000 0.7510 0.1657
Tm3 Tm 0.0000 0.2490 0.3343
Tm4 Tm 0.5000 0.7491 0.5000
Tm5 Tm 0.0000 0.2509 0.0000
Tm6 Tm 0.5000 0.7510 0.8343
Ni1 Ni 0.0000 0.0015 0.8309
Ni2 Ni 0.5000 0.0039 0.0000
Ni3 Ni 0.0000 0.6095 0.6821
Ni4 Ni 0.0000 0.4847 0.5000
Ni5 Ni 0.0000 0.6095 0.3179
Ni6 Ni 0.0000 0.9961 0.5000
Ni7 Ni 0.5000 0.3905 0.1821
Ni8 Ni 0.5000 0.5153 0.0000
Ni9 Ni 0.5000 0.9985 0.6691
Ni10 Ni 0.5000 0.9985 0.3309
Ni11 Ni 0.0000 0.0015 0.1691
Ni12 Ni 0.5000 0.3905 0.8179
As1 As 0.5000 0.1454 0.1666
As2 As 0.0000 0.5205 0.8714
As3 As 0.0000 0.8546 0.6666
As4 As 0.0000 0.8546 0.3334
As5 As 0.5000 0.1454 0.8334
As6 As 0.5000 0.4795 0.6286
As7 As 0.0000 0.5205 0.1286
As8 As 0.0000 0.8585 0.0000
As9 As 0.5000 0.1415 0.5000
As10 As 0.5000 0.4795 0.3714
# * mass density: 9.304 g/cm³
# * volume: 220 Å³/f.u.
# * space-group type: No. 59
# * ΔE_f: -0.81 eV per atom
# * total magnetic moment: 0.000 μB per formula unit

---

[4]
# BaSrCaZn (PBE, relaxed)
data_BaSrCaZn
_space_group_name_H-M_alt 'P 1'
_space_group_IT_number 1
_cell_length_a 3.9467
_cell_length_b 3.9467
_cell_length_c 10.4352
_cell_angle_alpha 90.00
_cell_angle_beta 90.00
_cell_angle_gamma 90.00
loop_
_space_group_symop_operation_xyz
'x,y,z'
loop_
_atom_site_label
_atom_site_type_symbol
_atom_site_fract_x
_atom_site_fract_y
_atom_site_fract_z
Ba1 Ba 0.0000 0.0000 0.0858
Sr1 Sr 0.5000 0.5000 0.7459
Zn1 Zn 0.0000 0.0000 0.5556
Ca1 Ca 0.5000 0.5000 0.3975
# * E above lowest polymorph: 0.000 eV/atom
# * mass density: 3.376 g/cm³
# * volume: 163 Å³/f.u.
# * space-group type: No. 99
# * ΔE_f: -0.07 eV per atom
# * total magnetic moment: 0.000 μB per formula unit